[1]
The following is a DFT calculation (GGA-PBE) of crystalline Zr3TiBi at its relaxed geometry.

Lattice parameters (Å, degrees): 5.369 5.369 5.369 90.00 90.00 90.00
Fractional coordinates of all 5 atoms:
Zr 0.000 0.000 0.500
Zr 0.000 0.500 0.000
Zr 0.500 0.000 0.000
Ti 0.500 0.500 0.500
Bi 0.000 0.000 0.000

Results
N(E_F): 6.5 states/eV per cell
Calculated formation energy: 1.183 eV/atom
Crystal system: cubic
Energy relative to the lowest polymorph listed for this composition: 1252.3 meV/atom
Magnetization: 1.572 μB/f.u.


[2]
The following is a DFT calculation (GGA-PBE) of crystalline RbBiF2 at its relaxed geometry.

Lattice parameters (Å, degrees): 4.942 4.942 4.942 60.00 60.00 60.00
Fractional coordinates of all 4 atoms:
Rb 0.000 0.000 0.000
Bi 0.500 0.500 0.500
F 0.250 0.250 0.250
F 0.750 0.750 0.750

Results
N(E_F): 5.9 states/eV per cell
Crystal system: cubic
Energy relative to the lowest polymorph listed for this composition: 764.6 meV/atom
Energy relative to the elements, uncorrected: -29.60 kcal/mol of atoms
Magnetization: 0.000 μB/f.u.


[3]
The following is a DFT calculation (GGA-PBE) of crystalline CrNiMo2N at its relaxed geometry.

Lattice parameters (Å, degrees): 4.075 4.075 3.757 90.00 90.00 90.00
Fractional coordinates of all 5 atoms:
Cr 0.000 0.000 0.000
Ni 0.500 0.500 0.000
Mo 0.000 0.500 0.500
Mo 0.500 0.000 0.500
N 0.000 0.000 0.500

Results
N(E_F): 5.1 states/eV per cell
Crystal system: tetragonal
Energy relative to the elements, uncorrected: -1.93 kcal/mol of atoms
Magnetization: 0.029 μB/f.u.


[4]
The following is a DFT calculation (GGA-PBE) of crystalline TmFeSi2Rh at its relaxed geometry.

Lattice parameters (Å, degrees): 5.593 5.593 5.593 138.02 138.02 60.87
Fractional coordinates of all 5 atoms:
Tm 0.000 0.000 0.000
Fe 0.750 0.250 0.500
Si 0.373 0.373 0.000
Si 0.627 0.627 0.000
Rh 0.250 0.750 0.500

Results
N(E_F): 2.3 states/eV per cell
Crystal system: tetragonal
Energy relative to the elements, uncorrected: -20.61 kcal/mol of atoms
Magnetization: 0.000 μB/f.u.


[5]
The following is a DFT calculation (GGA-PBE) of crystalline MgCd5In2 at its relaxed geometry.

Lattice parameters (Å, degrees): 6.448 12.856 4.483 90.00 90.00 90.00
Fractional coordinates of all 16 atoms:
Mg 0.000 0.000 0.000
Mg 0.500 0.500 0.000
Cd 0.000 0.500 0.000
Cd 0.003 0.249 0.000
Cd 0.248 0.124 0.500
Cd 0.252 0.624 0.500
Cd 0.497 0.749 0.000
Cd 0.500 0.000 0.000
Cd 0.503 0.251 0.000
Cd 0.748 0.376 0.500
Cd 0.752 0.876 0.500
Cd 0.997 0.751 0.000
In 0.248 0.876 0.500
In 0.252 0.376 0.500
In 0.748 0.624 0.500
In 0.752 0.124 0.500

Results
N(E_F): 4.4 states/eV per cell
Calculated formation energy: -0.011 eV/atom
Crystal system: orthorhombic
Energy relative to the lowest polymorph listed for this composition: 0.0 meV/atom
Magnetization: 0.000 μB/f.u.


[6]
The following is a DFT calculation (GGA-PBE) of crystalline Tb6IrPt3 at its relaxed geometry.

Lattice parameters (Å, degrees): 8.255 12.148 4.873 90.00 90.00 90.00
Fractional coordinates of all 20 atoms:
Tb 0.000 0.242 0.000
Tb 0.000 0.758 0.000
Tb 0.147 0.405 0.500
Tb 0.176 0.073 0.500
Tb 0.324 0.573 0.000
Tb 0.353 0.905 0.000
Tb 0.500 0.258 0.500
Tb 0.500 0.742 0.500
Tb 0.647 0.095 0.000
Tb 0.676 0.427 0.000
Tb 0.824 0.927 0.500
Tb 0.853 0.595 0.500
Ir 0.000 0.500 0.000
Ir 0.500 0.000 0.500
Pt 0.000 0.000 0.000
Pt 0.166 0.827 0.500
Pt 0.334 0.327 0.000
Pt 0.500 0.500 0.500
Pt 0.666 0.673 0.000
Pt 0.834 0.173 0.500

Results
N(E_F): 12.8 states/eV per cell
Calculated formation energy: -0.867 eV/atom
Crystal system: orthorhombic
Magnetization: 0.000 μB/f.u.


[7]
The following is a DFT calculation (GGA-PBE) of crystalline K2Rb4Zn at its relaxed geometry.

Lattice parameters (Å, degrees): 12.430 12.430 12.430 147.35 147.35 46.85
Fractional coordinates of all 7 atoms:
K 0.138 0.138 0.000
K 0.862 0.862 0.000
Rb 0.000 0.500 0.500
Rb 0.336 0.336 0.000
Rb 0.500 0.000 0.500
Rb 0.664 0.664 0.000
Zn 0.500 0.500 0.000

Results
N(E_F): 5.5 states/eV per cell
Calculated formation energy: 0.115 eV/atom
Crystal system: tetragonal
Magnetization: 0.000 μB/f.u.


[8]
The following is a DFT calculation (GGA-PBE) of crystalline LiPmZnAu at its relaxed geometry.

Lattice parameters (Å, degrees): 4.920 4.920 4.920 60.00 60.00 60.00
Fractional coordinates of all 4 atoms:
Li 0.000 0.000 0.000
Pm 0.500 0.500 0.500
Zn 0.750 0.750 0.750
Au 0.250 0.250 0.250

Results
N(E_F): 3.1 states/eV per cell
Calculated formation energy: -0.455 eV/atom
Crystal system: cubic
Magnetization: 0.000 μB/f.u.


[9]
The following is a DFT calculation (GGA-PBE) of crystalline Rb3Si5Au12 at its relaxed geometry.

Lattice parameters (Å, degrees): 14.388 14.388 14.388 109.47 109.47 109.47
Fractional coordinates of all 80 atoms:
Rb 0.125 0.250 0.375
Rb 0.125 0.375 0.750
Rb 0.250 0.375 0.125
Rb 0.250 0.875 0.625
Rb 0.375 0.125 0.250
Rb 0.375 0.750 0.125
Rb 0.625 0.250 0.875
Rb 0.625 0.875 0.750
Rb 0.750 0.125 0.375
Rb 0.750 0.625 0.875
Rb 0.875 0.625 0.250
Rb 0.875 0.750 0.625
Si 0.000 0.000 0.000
Si 0.000 0.000 0.500
Si 0.000 0.500 0.000
Si 0.000 0.500 0.500
Si 0.125 0.750 0.875
Si 0.125 0.875 0.250
Si 0.250 0.125 0.875
Si 0.250 0.625 0.375
Si 0.375 0.250 0.625
Si 0.375 0.625 0.750
Si 0.500 0.000 0.000
Si 0.500 0.000 0.500
Si 0.500 0.500 0.000
Si 0.500 0.500 0.500
Si 0.625 0.375 0.250
Si 0.625 0.750 0.375
Si 0.750 0.375 0.625
Si 0.750 0.875 0.125
Si 0.875 0.125 0.750
Si 0.875 0.250 0.125
Au 0.028 0.576 0.869
Au 0.028 0.952 0.159
Au 0.048 0.706 0.076
Au 0.048 0.841 0.972
Au 0.076 0.048 0.706
Au 0.076 0.528 0.369
Au 0.131 0.659 0.706
Au 0.131 0.972 0.424
Au 0.159 0.028 0.952
Au 0.159 0.631 0.206
Au 0.206 0.159 0.631
Au 0.206 0.548 0.576
Au 0.294 0.869 0.341
Au 0.294 0.924 0.952
Au 0.341 0.294 0.869
Au 0.341 0.548 0.472
Au 0.369 0.076 0.528
Au 0.369 0.794 0.841
Au 0.424 0.131 0.972
Au 0.424 0.794 0.452
Au 0.452 0.424 0.794
Au 0.452 0.528 0.659
Au 0.472 0.341 0.548
Au 0.472 0.631 0.924
Au 0.528 0.369 0.076
Au 0.528 0.659 0.452
Au 0.548 0.472 0.341
Au 0.548 0.576 0.206
Au 0.576 0.206 0.548
Au 0.576 0.869 0.028
Au 0.631 0.206 0.159
Au 0.631 0.924 0.472
Au 0.659 0.452 0.528
Au 0.659 0.706 0.131
Au 0.706 0.076 0.048
Au 0.706 0.131 0.659
Au 0.794 0.452 0.424
Au 0.794 0.841 0.369
Au 0.841 0.369 0.794
Au 0.841 0.972 0.048
Au 0.869 0.028 0.576
Au 0.869 0.341 0.294
Au 0.924 0.472 0.631
Au 0.924 0.952 0.294
Au 0.952 0.159 0.028
Au 0.952 0.294 0.924
Au 0.972 0.048 0.841
Au 0.972 0.424 0.131

Results
N(E_F): 29.8 states/eV per cell
Crystal system: cubic
Energy relative to the elements, uncorrected: -2.03 kcal/mol of atoms
Magnetization: 0.000 μB/f.u.


[10]
The following is a DFT calculation (GGA-PBE) of crystalline Tb2Zn5Au4 at its relaxed geometry.

Lattice parameters (Å, degrees): 9.850 9.137 5.294 81.39 66.51 32.10
Fractional coordinates of all 11 atoms:
Tb 0.125 0.125 0.875
Tb 0.875 0.875 0.125
Zn 0.000 0.000 0.500
Zn 0.250 0.250 0.250
Zn 0.500 0.500 0.000
Zn 0.500 0.500 0.500
Zn 0.750 0.750 0.750
Au 0.209 0.531 0.469
Au 0.469 0.791 0.209
Au 0.531 0.209 0.791
Au 0.791 0.469 0.531

Results
N(E_F): 3.5 states/eV per cell
Calculated formation energy: -0.490 eV/atom
Crystal system: orthorhombic
Magnetization: 0.000 μB/f.u.


[11]
The following is a DFT calculation (GGA-PBE) of crystalline Bi2OsW at its relaxed geometry.

Lattice parameters (Å, degrees): 4.831 4.831 4.831 60.00 60.00 60.00
Fractional coordinates of all 4 atoms:
Bi 0.250 0.250 0.250
Bi 0.750 0.750 0.750
Os 0.000 0.000 0.000
W 0.500 0.500 0.500

Results
N(E_F): 2.6 states/eV per cell
Calculated formation energy: 1.124 eV/atom
Crystal system: cubic
Energy relative to the lowest polymorph listed for this composition: 0.0 meV/atom
Magnetization: 0.000 μB/f.u.


[12]
The following is a DFT calculation (GGA-PBE) of crystalline Al2ZnW2 at its relaxed geometry.

Lattice parameters (Å, degrees): 6.601 6.601 3.530 90.00 90.00 90.00
Fractional coordinates of all 10 atoms:
Al 0.132 0.368 0.000
Al 0.368 0.868 0.000
Al 0.632 0.132 0.000
Al 0.868 0.632 0.000
Zn 0.000 0.000 0.000
Zn 0.500 0.500 0.000
W 0.167 0.667 0.500
W 0.333 0.167 0.500
W 0.667 0.833 0.500
W 0.833 0.333 0.500

Results
N(E_F): 10.4 states/eV per cell
Calculated formation energy: 0.321 eV/atom
Crystal system: tetragonal
Magnetization: 0.000 μB/f.u.